1.
Entry from Alexandria via LeMat-Bulk: crystalline Tb2Ge3AsPt4 at its relaxed geometry (PBE).

Cell lengths 4.3502, 4.3502, 10.0906 Å; angles 90.00, 90.00, 90.00 degrees
Closest atoms and distances in Å follow each position.
Fractional positions:
Tb: 0.5000 0.0000 0.2441  6 Ge 3.28-3.38, 8 Pt 3.29-3.33, 2 As 3.38
Tb: 0.0000 0.5000 0.7559  6 Ge 3.28-3.38, 8 Pt 3.29-3.33, 2 As 3.38
As: 0.5000 0.5000 0.5000  4 Pt 2.54
Ge: 0.5000 0.0000 0.8698  5 Pt 2.42-2.54
Ge: 0.0000 0.5000 0.1302  5 Pt 2.42-2.54
Ge: 0.0000 0.0000 0.5000  4 Pt 2.54
Pt: 0.0000 0.5000 0.3704  3 Ge 2.42-2.54, 2 As 2.54
Pt: 0.5000 0.0000 0.6296  3 Ge 2.42-2.54, 2 As 2.54
Pt: 0.0000 0.0000 0.0000  4 Ge 2.54
Pt: 0.5000 0.5000 0.0000  4 Ge 2.54

Values from the calculation:
Its energy relative to the elements is -0.86 eV/atom. As for the space group: P-4m2. For the volume, the calculation gives 191 Å³/cell. Its size of the total moment is 0.0 μB/cell.

=====

2.
Entry from Alexandria via LeMat-Bulk: crystalline Tl2TcRu at its relaxed geometry (PBE).

Cell lengths 8.9856, 8.9856, 8.9856 Å; angles 20.04, 20.04, 20.04 degrees
Closest atoms and distances in Å follow each position.
Fractional positions:
Tc: 0.7500 0.7500 0.7500  6 Tl 2.87, 6 Tc 3.13
Ru: 0.2500 0.2500 0.2500  6 Tl 2.82, 6 Ru 3.13
Tl: 0.5013 0.5013 0.5013  3 Ru 2.82, 3 Tc 2.87, 6 Tl 3.13
Tl: 0.9987 0.9987 0.9987  3 Ru 2.82, 3 Tc 2.87, 6 Tl 3.13

Values from the calculation:
Its energy relative to the elements is 0.78 eV/atom. As for the energy above the most stable polymorph in this dataset: 383.9 meV per atom. As for the space group: R-3m. For the volume, the calculation gives 74 Å³/cell. Its size of the total moment is 0.2 μB/cell.

=====

3.
Entry from Alexandria via LeMat-Bulk: crystalline BaLiLa2 at its relaxed geometry (PBE).

Cell lengths 7.3720, 7.3720, 3.7813 Å; angles 77.89, 77.89, 123.60 degrees
Closest atoms and distances in Å follow each position.
Fractional positions:
Ba: 0.0000 0.5000 0.5000  4 Li 3.48-3.84, 4 La 3.77, 2 Ba 3.78
La: 0.5000 0.5000 0.0000  6 La 3.48-3.84, 2 Li 3.77, 2 Ba 3.77
La: 0.0000 0.0000 0.0000  6 La 3.48-3.84, 2 Ba 3.77, 2 Li 3.77
Li: 0.5000 0.0000 0.5000  4 Ba 3.48-3.84, 4 La 3.77, 2 Li 3.78

Values from the calculation:
Its energy relative to the elements is 0.21 eV/atom. As for the energy above the most stable polymorph in this dataset: 119.0 meV per atom. As for the space group: C2/m. For the volume, the calculation gives 153 Å³/cell. Its size of the total moment is 0.0 μB/cell.

=====

4.
Entry from Alexandria via LeMat-Bulk: crystalline Sm3TlSe6 at its relaxed geometry (PBE).

Cell lengths 7.0475, 9.1513, 9.1513 Å; angles 102.66, 90.00, 90.00 degrees
Closest atoms and distances in Å follow each position.
Fractional positions:
Sm: 0.9853 0.7178 0.9113  7 Se 2.89-3.15
Sm: 0.3855 0.4070 0.5930  7 Se 2.93-3.15
Sm: 0.9853 0.0887 0.2822  7 Se 2.89-3.15
Sm: 0.8855 0.5930 0.4070  7 Se 2.93-3.15
Sm: 0.4853 0.9113 0.7178  7 Se 2.89-3.15
Sm: 0.4853 0.2822 0.0887  7 Se 2.89-3.15
Se: 0.7218 0.9031 0.4480  1 Tl 2.71, 2 Sm 2.97-3.01
Se: 0.6829 0.3028 0.3714  4 Sm 2.89-2.97
Se: 0.1829 0.3714 0.3028  4 Sm 2.89-2.97
Se: 0.7218 0.5520 0.0969  1 Tl 2.71, 2 Sm 2.97-3.01
Se: 0.6829 0.6286 0.6972  4 Sm 2.89-2.97
Se: 0.1829 0.6972 0.6286  4 Sm 2.89-2.97
Se: 0.2218 0.4480 0.9031  1 Tl 2.71, 2 Sm 2.97-3.01
Se: 0.2218 0.0969 0.5520  1 Tl 2.71, 2 Sm 2.97-3.01
Se: 0.1839 0.0302 0.9698  1 Tl 2.77
Se: 0.1306 0.7773 0.2227  1 Tl 2.66, 2 Sm 2.96
Se: 0.6839 0.9698 0.0302  1 Tl 2.77
Se: 0.6306 0.2227 0.7773  1 Tl 2.66, 2 Sm 2.96
Tl: 0.0053 0.2028 0.7972  4 Se 2.66-2.77
Tl: 0.5053 0.7972 0.2028  4 Se 2.66-2.77

Values from the calculation:
As for the space group: Cmc2_1. The uncorrected formation energy is -1446 meV per atom. For the volume, the calculation gives 576 Å³/cell. Its size of the total moment is 0.0 μB/cell.

=====

5.
Entry from Alexandria via LeMat-Bulk: crystalline PrYCd at its relaxed geometry (PBE).

Cell lengths 3.7660, 5.5966, 8.8334 Å; angles 90.00, 102.31, 90.00 degrees
Closest atoms and distances in Å follow each position.
Fractional positions:
Cd: 0.4238 0.2500 0.8477  2 Y 3.22, 6 Pr 3.36-3.38
Cd: 0.5762 0.7500 0.1523  2 Y 3.22, 6 Pr 3.36-3.38
Y: 0.2275 0.7500 0.4550  2 Cd 3.22, 4 Y 3.46
Y: 0.7725 0.2500 0.5450  2 Cd 3.22, 4 Y 3.46
Pr: 0.0852 0.2500 0.1703  6 Cd 3.36-3.38, 4 Y 3.72-3.74
Pr: 0.9148 0.7500 0.8297  6 Cd 3.36-3.38, 4 Y 3.72-3.74

Values from the calculation:
Its energy relative to the elements is -0.22 eV/atom. As for the energy above the most stable polymorph in this dataset: 0.0 meV per atom. As for the space group: Cmcm. For the volume, the calculation gives 182 Å³/cell. Its size of the total moment is 0.0 μB/cell.

=====

6.
Entry from Alexandria via LeMat-Bulk: crystalline Tb5Ho2ErSc at its relaxed geometry (PBE).

Cell lengths 5.5063, 10.3532, 10.3320 Å; angles 90.00, 90.00, 105.42 degrees
Closest atoms and distances in Å follow each position.
Fractional positions:
Tb: 0.3002 0.6004 0.7055  1 Er 3.33, 4 Tb 3.35-3.67, 2 Sc 3.38, 3 Ho 3.44-3.72
Tb: 0.3753 0.7505 0.0204  4 Ho 3.52-3.56, 4 Tb 3.58-3.69, 1 Sc 3.61
Tb: 0.4834 0.9667 0.7414  2 Er 3.13-3.30, 2 Ho 3.41
Tb: 0.5166 0.0333 0.2414  2 Er 3.13-3.30, 2 Ho 3.41
Tb: 0.0166 0.0332 0.0150  2 Er 3.20, 3 Ho 3.32-3.48, 1 Sc 3.55
Tb: 0.9834 0.9668 0.5150  2 Er 3.20, 3 Ho 3.32-3.48, 1 Sc 3.55
Tb: 0.2748 0.5496 0.3204  1 Er 3.00, 1 Ho 3.26, 2 Tb 3.35
Tb: 0.6247 0.2495 0.5204  4 Ho 3.52-3.56, 4 Tb 3.58-3.69, 1 Sc 3.61
Tb: 0.6998 0.3996 0.2055  1 Er 3.33, 4 Tb 3.35-3.67, 2 Sc 3.38, 3 Ho 3.44-3.72
Tb: 0.7252 0.4504 0.8204  1 Er 3.00, 1 Ho 3.26, 2 Tb 3.35
Er: 0.5928 0.1856 0.9583  6 Tb 3.00-3.33
Er: 0.4072 0.8144 0.4583  6 Tb 3.00-3.33
Ho: 0.8857 0.7713 0.2378  1 Sc 3.28, 6 Tb 3.47-3.63, 2 Er 3.60
Ho: 0.8886 0.7771 0.8097  9 Tb 3.26-3.59, 1 Sc 3.46
Ho: 0.1143 0.2287 0.7378  1 Sc 3.28, 6 Tb 3.47-3.63, 2 Er 3.60
Ho: 0.1114 0.2229 0.3097  9 Tb 3.26-3.59, 1 Sc 3.46
Sc: 0.8055 0.6111 0.5153  2 Ho 3.28-3.46, 7 Tb 3.38-3.61, 2 Er 3.47
Sc: 0.1945 0.3889 0.0153  2 Ho 3.28-3.46, 7 Tb 3.38-3.61, 2 Er 3.47

Values from the calculation:
Its energy relative to the elements is 0.16 eV/atom. As for the space group: Cmc2_1. For the volume, the calculation gives 568 Å³/cell. Its size of the total moment is 0.0 μB/cell.

=====

7.
Entry from Alexandria via LeMat-Bulk: crystalline CuICl2 at its relaxed geometry (PBE).

Cell lengths 7.4303, 3.1755, 12.7329 Å; angles 90.00, 125.36, 90.00 degrees
Closest atoms and distances in Å follow each position.
Fractional positions:
I: 0.8959 0.5000 0.6485  2 I 3.18
I: 0.8959 0.0000 0.1485  2 I 3.18
Cl: 0.5507 0.0000 0.8011  2 Cu 2.25
Cl: 0.2470 0.0000 0.4951  2 Cu 2.25
Cl: 0.5507 0.5000 0.3011  2 Cu 2.25
Cl: 0.2470 0.5000 0.9951  2 Cu 2.25
Cu: 0.4003 0.5000 0.6481  4 Cl 2.25
Cu: 0.4003 0.0000 0.1481  4 Cl 2.25

Values from the calculation:
As for the energy above the most stable polymorph in this dataset: 31.6 meV per atom. As for the space group: Cm. The uncorrected formation energy is -318 meV per atom. For the volume, the calculation gives 245 Å³/cell. Its size of the total moment is 1.0 μB/cell.

=====

8.
Entry from Alexandria via LeMat-Bulk: crystalline Gd2TmZn at its relaxed geometry (PBE).

Cell lengths 3.7620, 5.3621, 5.3621 Å; angles 90.00, 90.00, 90.00 degrees
Closest atoms and distances in Å follow each position.
Fractional positions:
Zn: 0.5000 0.0000 0.0000  8 Gd 3.28
Gd: 0.0000 0.5000 0.0000  4 Tm 3.28, 4 Zn 3.28
Gd: 0.0000 0.0000 0.5000  4 Tm 3.28, 4 Zn 3.28
Tm: 0.5000 0.5000 0.5000  8 Gd 3.28

Values from the calculation:
Its energy relative to the elements is -0.02 eV/atom. As for the energy above the most stable polymorph in this dataset: 126.1 meV per atom. As for the space group: P4/mmm. For the volume, the calculation gives 108 Å³/cell. Its size of the total moment is 14.7 μB/cell.